[1]
The following is a PBE calculation of a relaxed structure of SrSn3Rh, from Alexandria.

Structure (extended XYZ):
```
5
Lattice="5.8179 0.0000 0.0000 0.0000 5.8179 0.0000 0.0000 0.0000 5.8179" Properties=species:S:1:pos:R:3 pbc="T T T"
Rh 2.9090 2.9090 2.9090
Sn 2.9090 0.0000 0.0000
Sn 0.0000 0.0000 2.9090
Sn 0.0000 2.9090 0.0000
Sr 0.0000 0.0000 0.0000
```

***

[2]
The following is a PBE calculation of a relaxed structure of SrSn3Rh5, from Alexandria.

Structure (extended XYZ):
```
18
Lattice="-0.6501 2.4399 -3.5087 2.7305 -6.2994 -2.2236 -11.4882 -4.6014 -1.0711" Properties=species:S:1:pos:R:3 pbc="T T T"
Sr -7.5939 -5.0762 -4.7858
Rh 0.0000 0.0000 0.0000
Rh -2.0356 -6.2118 -3.9425
Sn -1.1683 -4.2146 -5.3773
Sn -0.3976 -0.3058 -2.8019
Rh -9.8658 -6.2329 -2.5062
Sn -9.0103 -8.1551 -4.0015
Sn -8.2395 -4.2464 -1.4262
Rh -9.9956 -3.2998 -3.1055
Sr -1.8140 -3.3847 -2.0176
Rh 0.4579 -2.2281 -4.2972
Rh 0.5877 -5.1611 -3.6979
Rh -5.5504 -4.5044 -2.1039
Rh -3.8575 -3.9565 -4.6995
Rh -5.7441 -2.3007 -0.5356
Sn -4.6028 -6.3897 -3.5906
Rh -7.3723 -2.2491 -2.8609
Sn -4.8051 -2.0712 -3.2129
```

***

Number 1: Fermi-level density of states 8.3 states/eV/cell, energy of formation 1.504 eV/atom. Number 2: Fermi-level density of states 17.3 states/eV/cell, energy of formation -0.408 eV/atom.